# 1
{"formula": "NaNi3H", "functional": "PBE", "state": "optimized geometry", "cell": [[-1.723, 0.759, -4.062], [3.223, -2.508, -1.836], [-2.587, -3.631, 0.419]], "species": ["Ni", "Ni", "Ni", "H", "Na"], "fractional_positions": [[0.000, 0.500, 0.000], [0.000, 0.000, 0.500], [0.500, 0.000, 0.000], [0.500, 0.500, 0.500], [0.000, 0.000, 0.000]], "magnetic_moment_mub_per_cell": 1.85, "relative_energy_mev_per_atom": 1881.3, "space_group": "Pm-3m, No. 221"}

# 2
{"formula": "AcSmTi", "functional": "PBE", "state": "optimized geometry", "cell": [[-0.736, 3.379, 1.043], [-4.836, -0.760, -0.949], [4.537, -7.645, 9.199]], "species": ["Ti", "Ti", "Sm", "Sm", "Ac", "Ac"], "fractional_positions": [[0.095, 0.313, 0.563], [0.905, 0.687, 0.437], [0.223, 0.066, 0.316], [0.777, 0.934, 0.684], [0.586, 0.641, 0.891], [0.414, 0.359, 0.109]], "magnetic_moment_mub_per_cell": 0.00, "ef_mev_per_atom": 237, "space_group": "P2_1/m, No. 11"}

# 3
{"formula": "SmTaFe10", "functional": "PBE", "state": "optimized geometry", "cell": [[3.982, 0.000, 0.000], [0.000, 4.858, 0.000], [0.000, 0.000, 8.421]], "species": ["Sm", "Ta", "Fe", "Fe", "Fe", "Fe", "Fe", "Fe", "Fe", "Fe", "Fe", "Fe"], "fractional_positions": [[0.000, 0.000, 0.000], [0.000, 0.500, 0.500], [0.000, 0.000, 0.345], [0.000, 0.500, 0.815], [0.000, 0.500, 0.185], [0.000, 0.000, 0.655], [0.500, 0.000, 0.500], [0.500, 0.500, 0.000], [0.500, 0.255, 0.261], [0.500, 0.745, 0.739], [0.500, 0.745, 0.261], [0.500, 0.255, 0.739]], "magnetic_moment_mub_per_cell": 18.11, "ef_mev_per_atom": 52, "space_group": "Pmmm, No. 47"}

# 4
{"formula": "CeEuTm", "functional": "PBE", "state": "optimized geometry", "cell": [[-0.389, -1.889, -3.027], [0.791, -3.014, 1.780], [-7.677, 1.432, 2.220]], "species": ["Eu", "Tm", "Ce"], "fractional_positions": [[0.998, 0.998, 0.997], [0.676, 0.676, 0.353], [0.325, 0.325, 0.651]], "magnetic_moment_mub_per_cell": 8.22, "relative_energy_mev_per_atom": 2.6, "ef_mev_per_atom": 136, "space_group": "I4mm, No. 107"}

# 5
{"formula": "AlRh2Cl", "functional": "PBE", "state": "optimized geometry", "cell": [[4.519, 0.011, 0.026], [3.552, 2.793, 0.026], [0.907, 0.315, 4.863]], "species": ["Rh", "Rh", "Al", "Cl"], "fractional_positions": [[0.976, 0.976, 0.026], [0.524, 0.524, 0.474], [0.250, 0.250, 0.250], [0.750, 0.750, 0.750]], "magnetic_moment_mub_per_cell": 0.00, "relative_energy_mev_per_atom": 275.7, "space_group": "C2/m, No. 12"}

# 6
{"formula": "La2Ho13", "functional": "PBE", "state": "optimized geometry", "cell": [[9.147, 0.000, 0.000], [4.573, 7.921, 0.000], [4.573, 2.640, 8.245]], "species": ["La", "La", "Ho", "Ho", "Ho", "Ho", "Ho", "Ho", "Ho", "Ho", "Ho", "Ho", "Ho", "Ho", "Ho"], "fractional_positions": [[0.255, 0.255, 0.235], [0.745, 0.745, 0.765], [0.500, 0.500, 0.500], [0.489, 0.848, 0.174], [0.489, 0.489, 0.174], [0.848, 0.489, 0.174], [0.152, 0.511, 0.826], [0.511, 0.152, 0.826], [0.511, 0.511, 0.826], [0.263, 0.889, 0.585], [0.263, 0.263, 0.585], [0.889, 0.263, 0.585], [0.111, 0.737, 0.415], [0.737, 0.111, 0.415], [0.737, 0.737, 0.415]], "magnetic_moment_mub_per_cell": 0.00, "ef_mev_per_atom": 600, "space_group": "R-3m, No. 166"}

# 7
{"formula": "BaAgBrCl2", "functional": "PBE", "state": "optimized geometry", "cell": [[-3.083, -4.188, 2.828], [1.969, -4.316, -4.246], [4.710, -1.182, 3.386]], "species": ["Br", "Ba", "Ag", "Cl", "Cl"], "fractional_positions": [[0.000, 0.500, 0.000], [0.000, 0.000, 0.000], [0.500, 0.500, 0.500], [0.000, 0.000, 0.500], [0.500, 0.000, 0.000]], "magnetic_moment_mub_per_cell": 0.00, "relative_energy_mev_per_atom": 475.9, "space_group": "P4/mmm, No. 123"}

# 8
{"formula": "Be2InPt", "functional": "PBE", "state": "optimized geometry", "cell": [[-0.008, -1.013, -4.192], [-2.892, -2.807, -1.535], [-3.199, 1.374, -2.545]], "species": ["Be", "Be", "Pt", "In"], "fractional_positions": [[0.000, 0.000, 0.000], [0.250, 0.250, 0.250], [0.750, 0.750, 0.750], [0.500, 0.500, 0.500]], "magnetic_moment_mub_per_cell": 0.00, "ef_mev_per_atom": 81, "space_group": "F-43m, No. 216"}

# 9
{"formula": "CaPaIn2", "functional": "PBE", "state": "optimized geometry", "cell": [[3.398, 0.000, 0.000], [1.699, 2.943, 0.000], [1.699, 0.981, 10.766]], "species": ["Ca", "Pa", "In", "In"], "fractional_positions": [[0.500, 0.500, 0.500], [0.000, 0.000, 0.000], [0.249, 0.249, 0.253], [0.751, 0.751, 0.747]], "magnetic_moment_mub_per_cell": 0.00, "relative_energy_mev_per_atom": 111.0, "ef_mev_per_atom": -87, "space_group": "R-3m, No. 166"}

# 10
{"formula": "Ti3CuPd3", "functional": "PBE", "state": "optimized geometry", "cell": [[5.075, 0.591, 0.262], [-1.732, 4.807, 0.262], [0.022, 0.036, 8.645]], "species": ["Ti", "Ti", "Ti", "Ti", "Ti", "Ti", "Cu", "Cu", "Pd", "Pd", "Pd", "Pd", "Pd", "Pd"], "fractional_positions": [[0.684, 0.684, 0.062], [0.859, 0.483, 0.730], [0.483, 0.859, 0.730], [0.141, 0.517, 0.270], [0.517, 0.141, 0.270], [0.316, 0.316, 0.938], [0.991, 0.991, 0.766], [0.009, 0.009, 0.234], [0.641, 0.641, 0.374], [0.172, 0.828, 0.500], [0.828, 0.172, 0.500], [0.205, 0.795, 0.000], [0.795, 0.205, 0.000], [0.359, 0.359, 0.626]], "magnetic_moment_mub_per_cell": 0.00, "ef_mev_per_atom": -385, "space_group": "C2/m, No. 12"}

# 11
{"formula": "RbTiMn2Pd", "functional": "PBE", "state": "optimized geometry", "cell": [[5.016, 0.000, 0.000], [0.000, 5.732, 0.000], [0.000, 0.000, 5.016]], "species": ["Mn", "Mn", "Rb", "Pd", "Ti"], "fractional_positions": [[0.000, 0.000, 0.500], [0.500, 0.000, 0.000], [0.000, 0.500, 0.000], [0.000, 0.000, 0.000], [0.500, 0.500, 0.500]], "magnetic_moment_mub_per_cell": 9.89, "ef_mev_per_atom": 1399, "space_group": "P4/mmm, No. 123"}

# 12
{"formula": "Ce7AlCo2", "functional": "PBE", "state": "optimized geometry", "cell": [[-1.054, 0.800, 4.617], [4.009, -6.449, 2.032], [4.420, 6.500, -0.117]], "species": ["Ce", "Ce", "Ce", "Ce", "Ce", "Ce", "Ce", "Al", "Co", "Co"], "fractional_positions": [[0.000, 0.714, 0.286], [0.000, 0.286, 0.714], [0.500, 0.041, 0.284], [0.500, 0.959, 0.716], [0.500, 0.284, 0.041], [0.500, 0.716, 0.959], [0.500, 0.500, 0.500], [0.000, 0.000, 0.000], [0.500, 0.681, 0.319], [0.500, 0.319, 0.681]], "magnetic_moment_mub_per_cell": 4.29, "ef_mev_per_atom": 19, "space_group": "Cmmm, No. 65"}

no.,density of states at the Fermi level (states/eV/atom),energy (eV/atom),calculated volume (Å³/atom)
1,1.8913,-2.21,17.96
2,1.2423,-5.34,31.40
3,1.0752,-8.38,13.58
4,2.1847,-6.76,33.11
5,1.0074,-5.23,15.28
6,1.9336,-4.02,39.83
7,0.0000,-3.14,44.62
8,0.2616,-3.98,14.18
9,1.1253,-4.33,26.91
10,0.8344,-6.58,15.69
11,4.1113,-5.08,28.84
12,2.6995,-5.93,27.26